(1)
Material: CaI2Cl
Method: DFT, meta-GGA SCAN
State: PBEsol geometry

For the final energy, the calculation gives -23.780 eV per atom. The space group is Fm-3m (225). The value obtained for the density of states at the Fermi level is 24.60 states/eV per cell. The raw formation energy comes out at -0.999 eV per atom. For the volume, the calculation gives 460.4 Å³/cell.

Unit cell a=7.722 b=7.722 c=7.722 alpha=90.00 beta=90.00 gamma=90.00
Positions (direct):
Ca 0.000 0.000 0.000
Ca 0.000 0.500 0.500
Ca 0.500 0.000 0.500
Ca 0.500 0.500 0.000
I 0.250 0.250 0.250
I 0.250 0.250 0.750
I 0.250 0.750 0.250
I 0.250 0.750 0.750
I 0.750 0.250 0.250
I 0.750 0.250 0.750
I 0.750 0.750 0.250
I 0.750 0.750 0.750
Cl 0.000 0.000 0.500
Cl 0.000 0.500 0.000
Cl 0.500 0.000 0.000
Cl 0.500 0.500 0.500

(2)
Material: KCaN
Method: DFT, meta-GGA SCAN
State: PBEsol geometry

For the final energy, the calculation gives -9.337 eV per atom. The space group is R3m (160). The value obtained for the density of states at the Fermi level is 7.05 states/eV per cell. The raw formation energy comes out at -0.243 eV per atom. For the volume, the calculation gives 236.9 Å³/cell.

Unit cell a=3.859 b=3.859 c=18.364 alpha=90.00 beta=90.00 gamma=120.00
Positions (direct):
K 0.000 0.000 0.000
K 0.333 0.667 0.667
K 0.667 0.333 0.333
Ca 0.000 0.000 0.533
Ca 0.333 0.667 0.200
Ca 0.667 0.333 0.866
N 0.000 0.000 0.238
N 0.333 0.667 0.905
N 0.667 0.333 0.571

(3)
Material: V2CrOs
Method: DFT, meta-GGA SCAN
State: PBEsol geometry

For the final energy, the calculation gives -31.755 eV per atom. The space group is Fm-3m (225). The value obtained for the density of states at the Fermi level is 5.66 states/eV per cell. For the formation energy from the elements, the calculation gives -445 meV/atom. For the volume, the calculation gives 202.7 Å³/cell.

Unit cell a=5.874 b=5.874 c=5.874 alpha=90.00 beta=90.00 gamma=90.00
Positions (direct):
V 0.250 0.250 0.250
V 0.250 0.250 0.750
V 0.250 0.750 0.250
V 0.250 0.750 0.750
V 0.750 0.250 0.250
V 0.750 0.250 0.750
V 0.750 0.750 0.250
V 0.750 0.750 0.750
Cr 0.000 0.000 0.000
Cr 0.000 0.500 0.500
Cr 0.500 0.000 0.500
Cr 0.500 0.500 0.000
Os 0.000 0.000 0.500
Os 0.000 0.500 0.000
Os 0.500 0.000 0.000
Os 0.500 0.500 0.500